Below is AcGa6Ir after structural relaxation, with properties calculated at the GGA-PBE level.

- DFT total energy: -35.10 eV per cell

abc: 4.4084 4.4084 8.1891
angles: 90.00 90.00 90.00
Sites, in units of the cell vectors:
1 Ga 0.0000 0.5000 0.6653
2 Ga 0.5000 0.5000 0.1511
3 Ga 0.5000 0.5000 0.8489
4 Ga 0.5000 0.0000 0.3347
5 Ga 0.0000 0.5000 0.3347
6 Ir 0.0000 0.0000 0.5000
7 Ga 0.5000 0.0000 0.6653
8 Ac 0.0000 0.0000 0.0000